The following is a DFT calculation (GGA-PBE) of an optimized crystal structure of Tl2ZnCo.

Final energy: -2.731 eV/atom
Energy relative to the elements: 52.8 kJ/mol of atoms
Magnetic moment: 1.30 μB per formula unit

a b c (Å): 3.630 5.123 8.862
angles (deg): 90.00 90.00 90.00
Space group Immm (No. 71)
Symmetry-distinct sites (fractional):
Tl  0.000  0.000  0.229 x4
Zn  0.000  0.500  0.000 x2
Co  0.000  0.500  0.500 x2

The following is a DFT calculation (GGA-PBE) of an optimized crystal structure of TlZn2Co.

Final energy: -2.683 eV/atom
Energy relative to the elements: 31.0 kJ/mol of atoms
Magnetic moment: 0.63 μB per formula unit

a b c (Å): 8.696 3.354 4.761
angles (deg): 90.00 105.74 90.00
Space group Cm (No. 8)
Symmetry-distinct sites (fractional):
Tl  0.000  0.000  0.000 x2
Zn  0.226  0.000  0.674 x2
Zn  0.480  0.000  0.463 x2
Co  0.254  0.500  0.289 x2

The following is a DFT calculation (GGA-PBE) of an optimized crystal structure of Tl2ZnCo.

Final energy: -2.884 eV/atom
Energy relative to the elements: 38.0 kJ/mol of atoms
Magnetic moment: 1.05 μB per formula unit

a b c (Å): 3.2846 3.2846 26.9495
angles (deg): 90.00 90.00 120.00
Space group R3m (No. 160, hexagonal axes)
Symmetry-distinct sites (fractional):
Tl  0.0000  0.0000  0.0000 x3
Tl  0.0000  0.0000  0.2247 x3
Zn  0.0000  0.0000  0.4659 x3
Co  0.0000  0.0000  0.7403 x3

The following is a DFT calculation (GGA-PBE) of an optimized crystal structure of Tl2ZnCo.

Final energy: -2.631 eV/atom
Energy relative to the elements: 62.4 kJ/mol of atoms
Magnetic moment: 1.58 μB per formula unit

a b c (Å): 6.983 6.983 6.983
angles (deg): 90.00 90.00 90.00
Space group F-43m (No. 216)
Symmetry-distinct sites (fractional):
Tl  0.000  0.000  0.000 x4
Tl  0.250  0.250  0.250 x4
Zn  0.000  0.000  0.500 x4
Co  0.250  0.250  0.750 x4

The following is a DFT calculation (GGA-PBE) of an optimized crystal structure of TlZn2Co.

Final energy: -2.583 eV/atom
Energy relative to the elements: 40.7 kJ/mol of atoms
Magnetic moment: 1.02 μB per formula unit

a b c (Å): 3.964 3.964 18.394
angles (deg): 90.00 90.00 90.00
Space group I-42d (No. 122)
Symmetry-distinct sites (fractional):
Tl  0.000  0.000  0.000 x4
Zn  0.188  0.250  0.625 x8
Co  0.000  0.000  0.500 x4

The following is a DFT calculation (GGA-PBE) of an optimized crystal structure of TlZnCo3.

Final energy: -3.269 eV/atom
Energy relative to the elements: 166.2 kJ/mol of atoms
Magnetic moment: 4.93 μB per formula unit

a b c (Å): 4.797 4.797 4.797
angles (deg): 90.00 90.00 90.00
Space group Pm-3m (No. 221)
Symmetry-distinct sites (fractional):
Tl  0.000  0.000  0.000 x1
Zn  0.500  0.500  0.500 x1
Co  0.000  0.000  0.500 x3

The following is a DFT calculation (GGA-PBE) of an optimized crystal structure of TlZn2Co.

Final energy: -2.676 eV/atom
Energy relative to the elements: 31.7 kJ/mol of atoms
Magnetic moment: 0.21 μB per formula unit

a b c (Å): 3.896 3.896 4.138
angles (deg): 90.00 90.00 90.00
Space group P4/mmm (No. 123)
Symmetry-distinct sites (fractional):
Tl  0.000  0.000  0.000 x1
Zn  0.000  0.500  0.500 x2
Co  0.500  0.500  0.000 x1

The following is a DFT calculation (GGA-PBE) of an optimized crystal structure of TlZn2Co.

Final energy: -2.558 eV/atom
Energy relative to the elements: 43.1 kJ/mol of atoms
Magnetic moment: 0.96 μB per formula unit

a b c (Å): 6.379 6.379 6.379
angles (deg): 90.00 90.00 90.00
Space group Fm-3m (No. 225)
Symmetry-distinct sites (fractional):
Tl  0.000  0.000  0.000 x4
Zn  0.250  0.250  0.250 x8
Co  0.000  0.000  0.500 x4

The following is a DFT calculation (GGA-PBE) of an optimized crystal structure of Tl2ZnCo.

Final energy: -2.929 eV/atom
Energy relative to the elements: 33.7 kJ/mol of atoms
Magnetic moment: 1.04 μB per formula unit

a b c (Å): 3.825 4.055 5.509
angles (deg): 90.00 110.00 90.00
Space group Pm (No. 6)
Symmetry-distinct sites (fractional):
Tl  0.000  0.000  0.000 x1
Tl  0.298  0.500  0.602 x1
Zn  0.588  0.500  0.178 x1
Co  0.726  0.000  0.455 x1

The following is a DFT calculation (GGA-PBE) of an optimized crystal structure of Tl3ZnCo.

Final energy: -2.820 eV/atom
Energy relative to the elements: 26.6 kJ/mol of atoms
Magnetic moment: 0.00 μB per formula unit

a b c (Å): 5.100 5.100 5.100
angles (deg): 90.00 90.00 90.00
Space group Pm-3m (No. 221)
Symmetry-distinct sites (fractional):
Tl  0.000  0.000  0.500 x3
Zn  0.500  0.500  0.500 x1
Co  0.000  0.000  0.000 x1

The following is a DFT calculation (GGA-PBE) of an optimized crystal structure of TlZn2Co2.

Final energy: -3.471 eV/atom
Energy relative to the elements: 34.2 kJ/mol of atoms
Magnetic moment: 2.04 μB per formula unit

a b c (Å): 3.658 3.658 11.666
angles (deg): 90.00 90.00 90.00
Space group I4/mmm (No. 139)
Symmetry-distinct sites (fractional):
Tl  0.000  0.000  0.000 x2
Zn  0.000  0.500  0.250 x4
Co  0.000  0.000  0.401 x4

The following is a DFT calculation (GGA-PBE) of an optimized crystal structure of Tl2ZnCo.

Final energy: -2.756 eV/atom
Energy relative to the elements: 50.4 kJ/mol of atoms
Magnetic moment: 1.39 μB per formula unit

a b c (Å): 4.097 4.097 9.427
angles (deg): 90.00 90.00 90.00
Space group I-4m2 (No. 119)
Symmetry-distinct sites (fractional):
Tl  0.000  0.000  0.000 x2
Tl  0.000  0.500  0.250 x2
Zn  0.000  0.500  0.750 x2
Co  0.000  0.000  0.500 x2